A plane-wave DFT calculation with PBE-GGA was carried out for a relaxed Ca2NpTiN4 crystal.

a b c (Å): 5.6628 3.3531 5.8636
angles (deg): 90.00 107.74 90.00
Space group P2/m (No. 10)
One atom of each set of equivalent atoms:
Ca  0.0000  0.0000  0.0000 [1 per cell]
Ca  0.5000  0.5000  0.0000 [1 per cell]
Np  0.0000  0.5000  0.5000 [1 per cell]
Ti  0.5000  0.0000  0.5000 [1 per cell]
N  0.2514  0.0000  0.7118 [2 per cell]
N  0.2638  0.5000  0.2930 [2 per cell]

* raw formation energy: -1.25 eV per atom
* volume: 106.05 Å³ per cell
* M_tot: 2.7 μB per formula unit